The following is a PBE calculation of crystalline CsAg4Se4 at its relaxed geometry, from the Alexandria database.

abc: 9.543 9.543 5.327
angles: 90.00 90.00 90.00
Space group I4/m (No. 87)
One atom of each set of equivalent atoms:
Cs: 0.000 0.000 0.000 [2 per cell]
Ag: 0.106 0.698 0.500 [8 per cell]
Se: 0.155 0.664 0.000 [8 per cell]

DOS(E_F) (states/eV/f.u.): 4.34
Crystal system: tetragonal
Total energy (eV per atom): -3.164
Formation energy without anion corrections (eV per atom): -0.2529